Entry from Alexandria: a geometry-optimized Tb2Sm4Y3 structure (PBE).

## Properties
Magnetization ... 0.000 μB per formula unit
DFT formation energy ... 8.6 kJ/mol of atoms
Crystal system ... monoclinic
Relative energy among the computed polymorphs ... 73 meV/atom
Calculated volume ... 1180.6 Å³/cell

```
data_Tb2Sm4Y3
_chemical_formula_sum 'Tb8 Sm16 Y12'
_cell_length_a 16.356
_cell_length_b 11.717
_cell_length_c 6.195
_cell_angle_alpha 90.00
_cell_angle_beta 96.03
_cell_angle_gamma 90.00
_symmetry_space_group_name_H-M 'C 1 2/c 1'
_symmetry_Int_Tables_number 15
loop_
_symmetry_equiv_pos_as_xyz
'x,y,z'
'-x,-y,-z'
'-x,y,-z+1/2'
'x,-y,z+1/2'
'x+1/2,y+1/2,z'
'-x+1/2,-y+1/2,-z'
'-x+1/2,y+1/2,-z+1/2'
'x+1/2,-y+1/2,z+1/2'
loop_
_atom_site_label
_atom_site_type_symbol
_atom_site_fract_x
_atom_site_fract_y
_atom_site_fract_z
_atom_site_occupancy
Tb1 Tb 0.119 0.139 0.318 1
Sm1 Sm 0.047 0.359 0.014 1
Sm2 Sm 0.213 0.142 0.847 1
Y1 Y 0.000 0.099 0.750 1
Y2 Y 0.167 0.401 0.580 1
```